[1]
Ac2B3Pd12Au | PBE-GGA | relaxed

Properties
For the energy of formation from the pure elements, the calculation gives -0.3114 eV per atom. For the total moment, the calculation gives 0.0 μB/cell.

Cell and atoms, written as CIF:
```
data_Ac2B3Pd12Au
_chemical_formula_sum 'Ac6 B9 Pd36 Au3'
_symmetry_space_group_name_H-M 'R -3 m'
_symmetry_Int_Tables_number 166
_symmetry_space_group_name_Hall '-R 3 2"'
_cell_length_a 7.6727
_cell_length_b 7.6727
_cell_length_c 18.8783
_cell_angle_alpha 90.00
_cell_angle_beta 90.00
_cell_angle_gamma 120.00
loop_
_atom_site_label
_atom_site_type_symbol
_atom_site_fract_x
_atom_site_fract_y
_atom_site_fract_z
Ac1 Ac 0.0000 0.0000 0.1001
B1 B 0.0000 0.5000 0.0000
Pd1 Pd 0.0651 0.5325 0.8898
Pd2 Pd 0.0706 0.5353 0.3081
Au1 Au 0.0000 0.0000 0.5000
```

=====

[2]
MgSiTe2 | PBE-GGA | relaxed

Properties
For the total moment, the calculation gives 0.0 μB/cell. For the uncorrected formation energy, the calculation gives -296 meV per atom.

Cell and atoms, written as CIF:
```
data_MgSiTe2
_chemical_formula_sum 'Mg1 Si1 Te2'
_symmetry_space_group_name_H-M 'P 4 m m'
_symmetry_Int_Tables_number 99
_cell_length_a 4.1820
_cell_length_b 4.1820
_cell_length_c 5.9300
_cell_angle_alpha 90.00
_cell_angle_beta 90.00
_cell_angle_gamma 90.00
loop_
_symmetry_equiv_pos_as_xyz
'x,y,z'
'-y,x,z'
'-x,-y,z'
'y,-x,z'
'-x,y,z'
'y,x,z'
'x,-y,z'
'-y,-x,z'
loop_
_atom_site_label
_atom_site_type_symbol
_atom_site_fract_x
_atom_site_fract_y
_atom_site_fract_z
Mg1 Mg 0.0000 0.0000 0.0000
Si1 Si 0.5000 0.5000 0.4786
Te1 Te 0.0000 0.0000 0.5047
Te2 Te 0.5000 0.5000 0.0175
```

=====

[3]
Ca2InCl | PBE-GGA | relaxed

Properties
For the total moment, the calculation gives 0.0 μB/cell. For the uncorrected formation energy, the calculation gives -909 meV per atom.

Cell and atoms, written as CIF:
```
data_Ca2InCl
_chemical_formula_sum 'Ca4 In2 Cl2'
_symmetry_space_group_name_H-M 'I m m 2'
_symmetry_Int_Tables_number 44
_cell_length_a 3.7302
_cell_length_b 3.8905
_cell_length_c 16.5302
_cell_angle_alpha 90.00
_cell_angle_beta 90.00
_cell_angle_gamma 90.00
loop_
_symmetry_equiv_pos_as_xyz
'x,y,z'
'-x,-y,z'
'-x,y,z'
'x,-y,z'
'x+1/2,y+1/2,z+1/2'
'-x+1/2,-y+1/2,z+1/2'
'-x+1/2,y+1/2,z+1/2'
'x+1/2,-y+1/2,z+1/2'
loop_
_atom_site_label
_atom_site_type_symbol
_atom_site_fract_x
_atom_site_fract_y
_atom_site_fract_z
Ca1 Ca 0.0000 0.0000 0.0000
Ca2 Ca 0.0000 0.5000 0.2456
In1 In 0.0000 0.0000 0.3937
Cl1 Cl 0.0000 0.5000 0.6552
```

=====

[4]
NbGePH2 | PBE-GGA | relaxed

Properties
The calculation puts the total energy at -4.700 eV per atom. For the total moment, the calculation gives 1.6 μB/cell.

Cell and atoms, written as CIF:
```
data_NbGePH2
_chemical_formula_sum 'Nb1 Ge1 P1 H2'
_symmetry_space_group_name_H-M 'P 4/m m m'
_symmetry_Int_Tables_number 123
_symmetry_space_group_name_Hall '-P 4 2'
_cell_length_a 3.6194
_cell_length_b 3.6194
_cell_length_c 5.3221
_cell_angle_alpha 90.00
_cell_angle_beta 90.00
_cell_angle_gamma 90.00
loop_
_atom_site_label
_atom_site_type_symbol
_atom_site_fract_x
_atom_site_fract_y
_atom_site_fract_z
Nb1 Nb 0.0000 0.0000 0.0000
Ge1 Ge 0.5000 0.5000 0.0000
P1 P 0.5000 0.5000 0.5000
H1 H 0.0000 0.5000 0.5000
```

=====

[5]
Ca2MgBe | PBE-GGA | relaxed

Properties
For the energy of formation from the pure elements, the calculation gives 0.3015 eV per atom. For the total moment, the calculation gives 0.0 μB/cell.

Cell and atoms, written as CIF:
```
data_Ca2MgBe
_chemical_formula_sum 'Ca8 Mg4 Be4'
_symmetry_space_group_name_H-M 'F 2 2 2'
_symmetry_Int_Tables_number 22
_symmetry_space_group_name_Hall 'F 2 2'
_cell_length_a 7.2505
_cell_length_b 7.2793
_cell_length_c 7.3544
_cell_angle_alpha 90.00
_cell_angle_beta 90.00
_cell_angle_gamma 90.00
loop_
_atom_site_label
_atom_site_type_symbol
_atom_site_fract_x
_atom_site_fract_y
_atom_site_fract_z
Ca1 Ca 0.0000 0.0000 0.0000
Ca2 Ca 0.2500 0.2500 0.2500
Mg1 Mg 0.2500 0.2500 0.7500
Be1 Be 0.0000 0.0000 0.5000
```

=====

[6]
Ni2PtW2 | PBE-GGA | relaxed

Properties
For the energy of formation from the pure elements, the calculation gives 0.0433 eV per atom. For the total moment, the calculation gives 0.0 μB/cell.

Cell and atoms, written as CIF:
```
data_Ni2PtW2
_chemical_formula_sum 'Ni4 Pt2 W4'
_symmetry_space_group_name_H-M 'P 4/m b m'
_symmetry_Int_Tables_number 127
_symmetry_space_group_name_Hall '-P 4 2ab'
_cell_length_a 7.1177
_cell_length_b 7.1177
_cell_length_c 2.7532
_cell_angle_alpha 90.00
_cell_angle_beta 90.00
_cell_angle_gamma 90.00
loop_
_atom_site_label
_atom_site_type_symbol
_atom_site_fract_x
_atom_site_fract_y
_atom_site_fract_z
Ni1 Ni 0.1222 0.3778 0.0000
Pt1 Pt 0.0000 0.0000 0.0000
W1 W 0.1730 0.6730 0.5000
```

=====

[7]
RbTl2SbPb | PBE-GGA | relaxed

Properties
For the total moment, the calculation gives 0.0 μB/cell. For the uncorrected formation energy, the calculation gives -127 meV per atom.

Cell and atoms, written as CIF:
```
data_RbTl2SbPb
_chemical_formula_sum 'Rb2 Tl4 Sb2 Pb2'
_symmetry_space_group_name_H-M 'I m m 2'
_symmetry_Int_Tables_number 44
_cell_length_a 4.5191
_cell_length_b 5.6608
_cell_length_c 14.6086
_cell_angle_alpha 90.00
_cell_angle_beta 90.00
_cell_angle_gamma 90.00
loop_
_symmetry_equiv_pos_as_xyz
'x,y,z'
'-x,-y,z'
'-x,y,z'
'x,-y,z'
'x+1/2,y+1/2,z+1/2'
'-x+1/2,-y+1/2,z+1/2'
'-x+1/2,y+1/2,z+1/2'
'x+1/2,-y+1/2,z+1/2'
loop_
_atom_site_label
_atom_site_type_symbol
_atom_site_fract_x
_atom_site_fract_y
_atom_site_fract_z
Rb1 Rb 0.0000 0.0000 0.0000
Tl1 Tl 0.0000 0.0000 0.6192
Tl2 Tl 0.0000 0.5000 0.2816
Sb1 Sb 0.0000 0.0000 0.3916
Pb1 Pb 0.0000 0.5000 0.7478
```

=====

[8]
AgPH | PBE-GGA | relaxed

Properties
The calculation puts the total energy at -3.701 eV per atom. For the total moment, the calculation gives 0.0 μB/cell.

Cell and atoms, written as CIF:
```
data_AgPH
_chemical_formula_sum 'Ag4 P4 H4'
_symmetry_space_group_name_H-M 'C 1 2/m 1'
_symmetry_Int_Tables_number 12
_cell_length_a 5.5429
_cell_length_b 3.2037
_cell_length_c 10.3425
_cell_angle_alpha 90.00
_cell_angle_beta 100.40
_cell_angle_gamma 90.00
loop_
_symmetry_equiv_pos_as_xyz
'x,y,z'
'-x,-y,-z'
'-x,y,-z'
'x,-y,z'
'x+1/2,y+1/2,z'
'-x+1/2,-y+1/2,-z'
'-x+1/2,y+1/2,-z'
'x+1/2,-y+1/2,z'
loop_
_atom_site_label
_atom_site_type_symbol
_atom_site_fract_x
_atom_site_fract_y
_atom_site_fract_z
Ag1 Ag 0.2230 0.0000 0.1741
P1 P 0.1874 0.5000 0.5617
H1 H 0.1238 0.0000 0.8662
```

=====

[9]
DyZrCdAu | PBE-GGA | relaxed

Properties
For the energy of formation from the pure elements, the calculation gives -0.3388 eV per atom. For the total moment, the calculation gives 4.0 μB/cell.

Cell and atoms, written as CIF:
```
data_DyZrCdAu
_chemical_formula_sum 'Dy4 Zr4 Cd4 Au4'
_symmetry_space_group_name_H-M 'F -4 3 m'
_symmetry_Int_Tables_number 216
_symmetry_space_group_name_Hall 'F -4 2 3'
_cell_length_a 7.1460
_cell_length_b 7.1460
_cell_length_c 7.1460
_cell_angle_alpha 90.00
_cell_angle_beta 90.00
_cell_angle_gamma 90.00
loop_
_atom_site_label
_atom_site_type_symbol
_atom_site_fract_x
_atom_site_fract_y
_atom_site_fract_z
Dy1 Dy 0.0000 0.0000 0.0000
Zr1 Zr 0.0000 0.0000 0.5000
Cd1 Cd 0.2500 0.2500 0.2500
Au1 Au 0.2500 0.2500 0.7500
```

=====

[10]
RbLiSnBr4 | PBE-GGA | relaxed

Properties
For the total moment, the calculation gives 0.0 μB/cell. For the uncorrected formation energy, the calculation gives -1252 meV per atom.

Cell and atoms, written as CIF:
```
data_RbLiSnBr4
_chemical_formula_sum 'Rb2 Li2 Sn2 Br8'
_symmetry_space_group_name_H-M 'P 1 21/m 1'
_symmetry_Int_Tables_number 11
_cell_length_a 7.3166
_cell_length_b 7.6478
_cell_length_c 9.3666
_cell_angle_alpha 90.00
_cell_angle_beta 108.64
_cell_angle_gamma 90.00
loop_
_symmetry_equiv_pos_as_xyz
'x,y,z'
'-x,-y,-z'
'-x,y+1/2,-z'
'x,-y+1/2,z'
loop_
_atom_site_label
_atom_site_type_symbol
_atom_site_fract_x
_atom_site_fract_y
_atom_site_fract_z
Rb1 Rb 0.2479 0.2500 0.0485
Li1 Li 0.2462 0.7500 0.3257
Sn1 Sn 0.2161 0.2500 0.5274
Br1 Br 0.0129 0.0028 0.2848
Br2 Br 0.4560 0.7500 0.1652
Br3 Br 0.4737 0.7500 0.5885
```

=====

[11]
MnCuAu3 | PBE-GGA | relaxed

Properties
For the energy of formation from the pure elements, the calculation gives 0.0871 eV per atom. For the total moment, the calculation gives 8.8 μB/cell.

Cell and atoms, written as CIF:
```
data_MnCuAu3
_chemical_formula_sum 'Mn2 Cu2 Au6'
_symmetry_space_group_name_H-M 'P m m n'
_symmetry_Int_Tables_number 59
_cell_length_a 4.3960
_cell_length_b 5.5302
_cell_length_c 7.3148
_cell_angle_alpha 90.00
_cell_angle_beta 90.00
_cell_angle_gamma 90.00
loop_
_symmetry_equiv_pos_as_xyz
'x,y,z'
'-x,-y,-z'
'-x+1/2,-y+1/2,z'
'x+1/2,y+1/2,-z'
'x+1/2,-y,-z'
'-x+1/2,y,z'
'-x,y+1/2,-z'
'x,-y+1/2,z'
loop_
_atom_site_label
_atom_site_type_symbol
_atom_site_fract_x
_atom_site_fract_y
_atom_site_fract_z
Mn1 Mn 0.2500 0.2500 0.1786
Cu1 Cu 0.2500 0.7500 0.4126
Au1 Au 0.2500 0.0054 0.7119
Au2 Au 0.2500 0.7500 0.0598
```

=====

[12]
PRhBr2 | PBE-GGA | relaxed

Properties
For the total moment, the calculation gives 0.3 μB/cell. For the uncorrected formation energy, the calculation gives 749 meV per atom.

Cell and atoms, written as CIF:
```
data_PRhBr2
_chemical_formula_sum 'P3 Rh3 Br6'
_symmetry_space_group_name_H-M 'R -3 m'
_symmetry_Int_Tables_number 166
_symmetry_space_group_name_Hall '-R 3 2"'
_cell_length_a 3.2458
_cell_length_b 3.2458
_cell_length_c 27.1013
_cell_angle_alpha 90.00
_cell_angle_beta 90.00
_cell_angle_gamma 120.00
loop_
_atom_site_label
_atom_site_type_symbol
_atom_site_fract_x
_atom_site_fract_y
_atom_site_fract_z
P1 P 0.0000 0.0000 0.0000
Rh1 Rh 0.0000 0.0000 0.5000
Br1 Br 0.0000 0.0000 0.4119
```